Material: Nd2MnHPd6
Method: DFT, PBE
State: optimized geometry

The structure in CIF format:
```
data_Nd2MnHPd6
_symmetry_space_group_name_H-M 'R -3 m'
_symmetry_Int_Tables_number 166
_symmetry_space_group_name_Hall '-R 3 2"'
_cell_length_a 5.7620
_cell_length_b 5.7620
_cell_length_c 18.2797
_cell_angle_alpha 90.00
_cell_angle_beta 90.00
_cell_angle_gamma 120.00
loop_
_atom_site_label
_atom_site_type_symbol
_atom_site_fract_x
_atom_site_fract_y
_atom_site_fract_z
Nd1 Nd 0.0000 0.0000 0.2248
Mn1 Mn 0.0000 0.0000 0.5000
H1 H 0.0000 0.0000 0.0000
Pd1 Pd 0.0005 0.5003 0.2714
```

Output
Its crystal system is trigonal. The value obtained for the total energy is -5.88 eV/atom.

=====

Material: Nd2MnH12Rh3
Method: DFT, PBE
State: optimized geometry

The structure in CIF format:
```
data_Nd2MnH12Rh3
_symmetry_space_group_name_H-M 'R -3 m'
_symmetry_Int_Tables_number 166
_symmetry_space_group_name_Hall '-R 3 2"'
_cell_length_a 6.2554
_cell_length_b 6.2554
_cell_length_c 14.2513
_cell_angle_alpha 90.00
_cell_angle_beta 90.00
_cell_angle_gamma 120.00
loop_
_atom_site_label
_atom_site_type_symbol
_atom_site_fract_x
_atom_site_fract_y
_atom_site_fract_z
Nd1 Nd 0.0000 0.0000 0.1216
Mn1 Mn 0.0000 0.0000 0.5000
H1 H 0.0203 0.5101 0.1197
H2 H 0.0276 0.5138 0.3423
Rh1 Rh 0.0000 0.5000 0.0000
```

Output
Its crystal system is trigonal. The value obtained for the total energy is -4.76 eV/atom.